# 1
VASP calculation (SCAN) on a crystal of TeAsSeN2 relaxed with PBEsol.

The calculation puts the energy relative to the lowest polymorph listed for this composition at 0 meV/atom. The formation energy without anion corrections comes out at 1350 meV/atom.

The structure belongs to space group P4/mmm (No. 123); the cell edges are 3.9048, 3.9048 and 5.0761 Å and the angles 90.00°, 90.00° and 90.00°. The distinct sites, in fractional coordinates, are Te at (0.0000, 0.0000, 0.0000), As at (0.5000, 0.5000, 0.5000), Se at (0.5000, 0.5000, 0.0000) and N at (0.0000, 0.5000, 0.5000).

# 2
VASP calculation (SCAN) on a crystal of KAsBr2F relaxed with PBEsol.

The formation energy without anion corrections comes out at 270 meV/atom.

The structure belongs to space group P4/mmm (No. 123); the cell edges are 5.9897, 5.9897 and 7.3096 Å and the angles 90.00°, 90.00° and 90.00°. The distinct sites, in fractional coordinates, are K at (0.0000, 0.0000, 0.0000), As at (0.0000, 0.0000, 0.5000), Br at (0.0000, 0.5000, 0.0000) and F at (0.5000, 0.5000, 0.5000).

# 3
VASP calculation (SCAN) on a crystal of AsOsPb2 relaxed with PBEsol.

The energy of formation from the pure elements comes out at 0.97 eV per atom.

The structure belongs to space group Cmmm (No. 65); the cell edges are 6.3565, 7.9023 and 3.2880 Å and the angles 90.00°, 90.00° and 90.00°. The distinct sites, in fractional coordinates, are As at (0.0000, 0.0000, 0.0000), Os at (0.0000, 0.5000, 0.0000) and Pb at (0.2500, 0.2500, 0.5000).

# 4
VASP calculation (SCAN) on a crystal of Li3SmSb2 relaxed with PBEsol.

The formation energy without anion corrections comes out at -907 meV/atom.

The structure belongs to space group P-3m1 (No. 164); the cell edges are 4.5241, 4.5241 and 7.1453 Å and the angles 90.00°, 90.00° and 120.00°. The distinct sites, in fractional coordinates, are Li at (0.0000, 0.0000, 0.0000), Li at (0.3333, 0.6667, 0.1503), Sm at (0.0000, 0.0000, 0.5000) and Sb at (0.3333, 0.6667, 0.7521).

# 5
VASP calculation (SCAN) on a crystal of Cr2CoSiC relaxed with PBEsol.

The formation energy without anion corrections comes out at 1705 meV/atom.

The structure belongs to space group P4/mmm (No. 123); the cell edges are 4.2563, 4.2563 and 4.0691 Å and the angles 90.00°, 90.00° and 90.00°. The distinct sites, in fractional coordinates, are Cr at (0.0000, 0.5000, 0.0000), Co at (0.0000, 0.0000, 0.0000), Si at (0.0000, 0.0000, 0.5000) and C at (0.5000, 0.5000, 0.5000).

# 6
VASP calculation (SCAN) on a crystal of LiWN3 relaxed with PBEsol.

The formation energy without anion corrections comes out at 144 meV/atom.

The structure belongs to space group Pm-3m (No. 221); the cell edges are 3.9332, 3.9332 and 3.9332 Å and the angles 90.00°, 90.00° and 90.00°. The distinct sites, in fractional coordinates, are Li at (0.0000, 0.0000, 0.0000), W at (0.5000, 0.5000, 0.5000) and N at (0.0000, 0.5000, 0.5000).

# 7
VASP calculation (SCAN) on a crystal of Mg2CoMo relaxed with PBEsol.

The energy of formation from the pure elements comes out at 0.34 eV per atom. The calculation puts the energy relative to the lowest polymorph listed for this composition at 11 meV/atom.

The structure belongs to space group Pm (No. 6); the cell edges are 2.7678, 4.1116 and 5.6511 Å and the angles 90.00°, 103.10° and 90.00°. The distinct sites, in fractional coordinates, are Mg at (0.0000, 0.0000, 0.0000), Mg at (0.3139, 0.5000, 0.7141), Co at (0.5557, 0.0000, 0.4489) and Mo at (0.6834, 0.5000, 0.2663).

# 8
VASP calculation (SCAN) on a crystal of Ba3LiIr relaxed with PBEsol.

The energy of formation from the pure elements comes out at -0.09 eV per atom.

The structure belongs to space group Pm-3m (No. 221); the cell edges are 6.0685, 6.0685 and 6.0685 Å and the angles 90.00°, 90.00° and 90.00°. The distinct sites, in fractional coordinates, are Ba at (0.0000, 0.0000, 0.5000), Li at (0.5000, 0.5000, 0.5000) and Ir at (0.0000, 0.0000, 0.0000).

# 9
VASP calculation (SCAN) on a crystal of TaSiTe2 relaxed with PBEsol.

The formation energy without anion corrections comes out at 771 meV/atom.

The structure belongs to space group F-43m (No. 216); the cell edges are 6.8735, 6.8735 and 6.8735 Å and the angles 90.00°, 90.00° and 90.00°. The distinct sites, in fractional coordinates, are Ta at (0.0000, 0.0000, 0.0000), Si at (0.2500, 0.2500, 0.2500), Te at (0.0000, 0.0000, 0.5000) and Te at (0.2500, 0.2500, 0.7500).

# 10
VASP calculation (SCAN) on a crystal of Sr2TcPt relaxed with PBEsol.

The energy of formation from the pure elements comes out at 0.36 eV per atom. The calculation puts the energy relative to the lowest polymorph listed for this composition at 542 meV/atom.

The structure belongs to space group I4/mmm (No. 139); the cell edges are 4.6302, 4.6302 and 8.5572 Å and the angles 90.00°, 90.00° and 90.00°. The distinct sites, in fractional coordinates, are Sr at (0.0000, 0.5000, 0.2500), Tc at (0.0000, 0.0000, 0.0000) and Pt at (0.0000, 0.0000, 0.5000).

# 11
VASP calculation (SCAN) on a crystal of CaReRh2W relaxed with PBEsol.

The energy of formation from the pure elements comes out at 2.71 eV per atom.

The structure belongs to space group P4/mmm (No. 123); the cell edges are 4.3818, 4.3818 and 4.6588 Å and the angles 90.00°, 90.00° and 90.00°. The distinct sites, in fractional coordinates, are Ca at (0.0000, 0.0000, 0.0000), Re at (0.5000, 0.5000, 0.5000), Rh at (0.0000, 0.5000, 0.0000) and W at (0.0000, 0.0000, 0.5000).

# 12
VASP calculation (SCAN) on a crystal of InRe3Cl relaxed with PBEsol.

The formation energy without anion corrections comes out at 3452 meV/atom.

The structure belongs to space group Pm-3m (No. 221); the cell edges are 4.9065, 4.9065 and 4.9065 Å and the angles 90.00°, 90.00° and 90.00°. The distinct sites, in fractional coordinates, are In at (0.0000, 0.0000, 0.0000), Re at (0.0000, 0.0000, 0.5000) and Cl at (0.5000, 0.5000, 0.5000).

# 13
VASP calculation (SCAN) on a crystal of GeTe3As relaxed with PBEsol.

The formation energy without anion corrections comes out at 630 meV/atom.

The structure belongs to space group Pm-3m (No. 221); the cell edges are 5.3162, 5.3162 and 5.3162 Å and the angles 90.00°, 90.00° and 90.00°. The distinct sites, in fractional coordinates, are Ge at (0.0000, 0.0000, 0.0000), Te at (0.0000, 0.5000, 0.5000) and As at (0.5000, 0.5000, 0.5000).

# 14
VASP calculation (SCAN) on a crystal of SrTcHgRu2 relaxed with PBEsol.

The energy of formation from the pure elements comes out at 1.07 eV per atom.

The structure belongs to space group P4/mmm (No. 123); the cell edges are 4.5665, 4.5665 and 5.5677 Å and the angles 90.00°, 90.00° and 90.00°. The distinct sites, in fractional coordinates, are Sr at (0.0000, 0.0000, 0.0000), Tc at (0.0000, 0.0000, 0.5000), Hg at (0.5000, 0.5000, 0.0000) and Ru at (0.0000, 0.5000, 0.5000).

Summary of VASP energy in eV per cell
-89.4, -69.6, -479.5, -131.6, -65.7, -99.2, -60.8, -192.6, -592.1, -296.7, -204.4, -237.4, -147.9, -189.8
(order as listed above)